Computed, not measured: an optimized crystal structure of LiFe2OF5 at the PBE with a Hubbard U level of DFT.

The structure in POSCAR format:
```
LiFe2OF5
1.0
4.726 0.000 0.000
0.000 4.729 0.000
0.000 4.704 9.216
Fe F O Li
4 10 2 2
direct
0.757 0.691 0.322
0.243 0.691 0.822
0.224 0.309 0.167
0.776 0.309 0.667
0.435 0.320 0.996
0.954 0.370 0.830
0.941 0.694 0.498
0.059 0.694 0.998
0.533 0.611 0.177
0.467 0.611 0.677
0.046 0.370 0.330
0.444 0.968 0.332
0.556 0.968 0.832
0.565 0.320 0.496
0.056 0.027 0.673
0.944 0.027 0.173
0.247 0.010 0.503
0.753 0.010 0.003
```

Values from the calculation:
- N(E_F) (states/eV/f.u.) = 0.00
- distance to the lowest polymorph of the same formula (meV/atom) = 0
- space group = Pc